<1>
{
  "formula": "CaCuRh3",
  "functional": "PBE-GGA",
  "state": "relaxed",
  "lattice": [[4.594, 0.000, 0.000], [0.000, 4.594, 0.000], [0.000, 0.000, 4.594]],
  "species": ["Ca", "Cu", "Rh", "Rh", "Rh"],
  "fractional_positions": [[0.000, 0.000, 0.000], [0.500, 0.500, 0.500], [0.000, 0.500, 0.500], [0.500, 0.000, 0.500], [0.500, 0.500, 0.000]],
  "space_group": "No. 221",
  "m_tot_mub_per_cell": 1.27
}

***

<2>
{
  "formula": "CaCuRh3",
  "functional": "PBE-GGA",
  "state": "relaxed",
  "lattice": [[4.728, 0.000, 0.000], [0.000, 4.728, 0.000], [0.000, 0.000, 4.728]],
  "species": ["Ca", "Cu", "Rh", "Rh", "Rh"],
  "fractional_positions": [[0.000, 0.000, 0.000], [0.500, 0.500, 0.500], [0.000, 0.000, 0.500], [0.000, 0.500, 0.000], [0.500, 0.000, 0.000]],
  "space_group": "No. 221",
  "m_tot_mub_per_cell": 0.00
}

***

Of them, the most stable is <1> and the least stable is <2>.

***

<1>
{
  "formula": "CaCu2Rh2",
  "functional": "PBE-GGA",
  "state": "relaxed",
  "lattice": [[-2.149, 2.149, 4.829], [2.149, -2.149, 4.829], [2.149, 2.149, -4.829]],
  "species": ["Ca", "Cu", "Cu", "Rh", "Rh"],
  "fractional_positions": [[0.000, 0.000, 0.000], [0.250, 0.750, 0.500], [0.750, 0.250, 0.500], [0.376, 0.376, 0.000], [0.624, 0.624, 0.000]],
  "space_group": "No. 139",
  "m_tot_mub_per_cell": 0.00
}

***

<2>
{
  "formula": "CaCu2Rh2",
  "functional": "PBE-GGA",
  "state": "relaxed",
  "lattice": [[7.371, 0.000, 0.000], [0.000, 7.371, 0.000], [0.000, 0.000, 2.913]],
  "species": ["Ca", "Ca", "Cu", "Cu", "Cu", "Cu", "Rh", "Rh", "Rh", "Rh"],
  "fractional_positions": [[0.000, 0.000, 0.000], [0.500, 0.500, 0.000], [0.169, 0.331, 0.500], [0.331, 0.831, 0.500], [0.669, 0.169, 0.500], [0.831, 0.669, 0.500], [0.127, 0.627, 0.000], [0.373, 0.127, 0.000], [0.627, 0.873, 0.000], [0.873, 0.373, 0.000]],
  "space_group": "No. 127",
  "m_tot_mub_per_cell": 0.00
}

***

<3>
{
  "formula": "CaCu2Rh2",
  "functional": "PBE-GGA",
  "state": "relaxed",
  "lattice": [[7.289, 0.000, 0.000], [0.000, 7.289, 0.000], [0.000, 0.000, 2.964]],
  "species": ["Ca", "Ca", "Cu", "Cu", "Cu", "Cu", "Rh", "Rh", "Rh", "Rh"],
  "fractional_positions": [[0.000, 0.000, 0.000], [0.500, 0.500, 0.000], [0.132, 0.368, 0.000], [0.368, 0.868, 0.000], [0.632, 0.132, 0.000], [0.868, 0.632, 0.000], [0.160, 0.660, 0.500], [0.340, 0.160, 0.500], [0.660, 0.840, 0.500], [0.840, 0.340, 0.500]],
  "space_group": "No. 127",
  "m_tot_mub_per_cell": 0.00
}

***

Of them, the most stable is <2> and the least stable is <1>.

***

<1>
{
  "formula": "CaSmCuRh",
  "functional": "PBE-GGA",
  "state": "relaxed",
  "lattice": [[4.166, 0.000, 0.000], [0.000, 1.983, 5.529], [0.000, -1.983, 5.529]],
  "species": ["Ca", "Sm", "Cu", "Rh"],
  "fractional_positions": [[0.000, 0.000, 0.000], [0.500, 0.719, 0.719], [0.500, 0.426, 0.426], [0.000, 0.281, 0.281]],
  "space_group": "No. 38",
  "m_tot_mub_per_cell": 0.00
}

***

<2>
{
  "formula": "CaSmCuRh",
  "functional": "PBE-GGA",
  "state": "relaxed",
  "lattice": [[0.000, 3.499, 3.499], [3.499, 0.000, 3.499], [3.499, 3.499, 0.000]],
  "species": ["Ca", "Sm", "Cu", "Rh"],
  "fractional_positions": [[0.000, 0.000, 0.000], [0.500, 0.500, 0.500], [0.750, 0.750, 0.750], [0.250, 0.250, 0.250]],
  "space_group": "No. 216",
  "m_tot_mub_per_cell": 0.00
}

***

Of them, the most stable is <1> and the least stable is <2>.

***

<1>
{
  "formula": "SrCaCuRh",
  "functional": "PBE-GGA",
  "state": "relaxed",
  "lattice": [[0.000, 3.595, 3.595], [3.595, 0.000, 3.595], [3.595, 3.595, 0.000]],
  "species": ["Sr", "Ca", "Cu", "Rh"],
  "fractional_positions": [[0.000, 0.000, 0.000], [0.500, 0.500, 0.500], [0.750, 0.750, 0.750], [0.250, 0.250, 0.250]],
  "space_group": "No. 216",
  "m_tot_mub_per_cell": 0.00
}

***

<2>
{
  "formula": "SrCaCuRh",
  "functional": "PBE-GGA",
  "state": "relaxed",
  "lattice": [[4.274, 0.000, 0.000], [0.000, 2.139, 5.522], [0.000, -2.139, 5.522]],
  "species": ["Sr", "Ca", "Cu", "Rh"],
  "fractional_positions": [[0.000, 0.000, 0.000], [0.500, 0.281, 0.281], [0.500, 0.591, 0.591], [0.000, 0.709, 0.709]],
  "space_group": "No. 38",
  "m_tot_mub_per_cell": 0.00
}

***

Of them, the most stable is <2> and the least stable is <1>.

***

<1>
{
  "formula": "CaTbCuRh",
  "functional": "PBE-GGA",
  "state": "relaxed",
  "lattice": [[4.141, 0.000, 0.000], [0.000, 1.956, 5.497], [0.000, -1.956, 5.497]],
  "species": ["Ca", "Tb", "Cu", "Rh"],
  "fractional_positions": [[0.000, 0.000, 0.000], [0.500, 0.719, 0.719], [0.500, 0.424, 0.424], [0.000, 0.278, 0.278]],
  "space_group": "No. 38",
  "m_tot_mub_per_cell": 0.00
}

***

<2>
{
  "formula": "CaTbCuRh",
  "functional": "PBE-GGA",
  "state": "relaxed",
  "lattice": [[0.000, 3.464, 3.464], [3.464, 0.000, 3.464], [3.464, 3.464, 0.000]],
  "species": ["Ca", "Tb", "Cu", "Rh"],
  "fractional_positions": [[0.000, 0.000, 0.000], [0.500, 0.500, 0.500], [0.750, 0.750, 0.750], [0.250, 0.250, 0.250]],
  "space_group": "No. 216",
  "m_tot_mub_per_cell": 0.00
}

***

Of them, the most stable is <1> and the least stable is <2>.

***

<1>
{
  "formula": "CaCu2Ru",
  "functional": "PBE-GGA",
  "state": "relaxed",
  "lattice": [[3.105, 0.000, 0.000], [0.000, 3.105, 0.000], [0.000, 0.000, 6.901]],
  "species": ["Ca", "Cu", "Cu", "Ru"],
  "fractional_positions": [[0.000, 0.000, 0.000], [0.000, 0.000, 0.489], [0.500, 0.500, 0.313], [0.500, 0.500, 0.696]],
  "space_group": "No. 99",
  "m_tot_mub_per_cell": 1.21
}

***

<2>
{
  "formula": "CaCu2Ru",
  "functional": "PBE-GGA",
  "state": "relaxed",
  "lattice": [[0.000, 3.170, 3.170], [3.170, 0.000, 3.170], [3.170, 3.170, 0.000]],
  "species": ["Ca", "Cu", "Cu", "Ru"],
  "fractional_positions": [[0.000, 0.000, 0.000], [0.500, 0.500, 0.500], [0.750, 0.750, 0.750], [0.250, 0.250, 0.250]],
  "space_group": "No. 216",
  "m_tot_mub_per_cell": 0.00
}

***

Of them, the most stable is <1> and the least stable is <2>.

***

<1>
{
  "formula": "CaCu2Ru",
  "functional": "PBE-GGA",
  "state": "relaxed",
  "lattice": [[0.000, 3.185, 3.185], [3.185, 0.000, 3.185], [3.185, 3.185, 0.000]],
  "species": ["Ca", "Cu", "Cu", "Ru"],
  "fractional_positions": [[0.000, 0.000, 0.000], [0.250, 0.250, 0.250], [0.750, 0.750, 0.750], [0.500, 0.500, 0.500]],
  "space_group": "No. 225",
  "m_tot_mub_per_cell": 0.00
}

***

<2>
{
  "formula": "CaCu2Ru",
  "functional": "PBE-GGA",
  "state": "relaxed",
  "lattice": [[4.536, -1.406, 0.000], [4.536, 1.406, 0.000], [-0.806, 0.000, 5.283]],
  "species": ["Ca", "Cu", "Cu", "Ru"],
  "fractional_positions": [[0.000, 0.000, 0.000], [0.235, 0.235, 0.682], [0.765, 0.765, 0.318], [0.500, 0.500, 0.500]],
  "space_group": "No. 12",
  "m_tot_mub_per_cell": 0.00
}

***

Of them, the most stable is <1> and the least stable is <2>.

***

<1>
{
  "formula": "CaCuSb3",
  "functional": "PBE-GGA",
  "state": "relaxed",
  "lattice": [[5.192, 0.000, 0.000], [0.000, 5.192, 0.000], [0.000, 0.000, 5.192]],
  "species": ["Ca", "Cu", "Sb", "Sb", "Sb"],
  "fractional_positions": [[0.000, 0.000, 0.000], [0.500, 0.500, 0.500], [0.000, 0.500, 0.500], [0.500, 0.000, 0.500], [0.500, 0.500, 0.000]],
  "space_group": "No. 221",
  "m_tot_mub_per_cell": 0.00
}

***

<2>
{
  "formula": "CaCuSb3",
  "functional": "PBE-GGA",
  "state": "relaxed",
  "lattice": [[5.680, 0.000, 0.000], [0.000, 5.680, 0.000], [0.000, 0.000, 5.680]],
  "species": ["Ca", "Cu", "Sb", "Sb", "Sb"],
  "fractional_positions": [[0.000, 0.000, 0.000], [0.500, 0.500, 0.500], [0.000, 0.000, 0.500], [0.000, 0.500, 0.000], [0.500, 0.000, 0.000]],
  "space_group": "No. 221",
  "m_tot_mub_per_cell": 0.00
}

***

Of them, the most stable is <1> and the least stable is <2>.